(i)
# GGA-PBE NaCd3Sb, relaxed
data_NaCd3Sb
_chemical_formula_sum 'Na1 Cd3 Sb1'
_symmetry_space_group_name_H-M 'P m -3 m'
_symmetry_Int_Tables_number 221
_symmetry_space_group_name_Hall '-P 4 2 3'
_cell_length_a 5.710
_cell_length_b 5.710
_cell_length_c 5.710
_cell_angle_alpha 90.00
_cell_angle_beta 90.00
_cell_angle_gamma 90.00
loop_
_atom_site_label
_atom_site_type_symbol
_atom_site_fract_x
_atom_site_fract_y
_atom_site_fract_z
Na1 Na 0.000 0.000 0.000
Cd1 Cd 0.000 0.500 0.500
Sb1 Sb 0.500 0.500 0.500
# Density, g cm⁻³: 4.3
# V, A^3/atom: 37.24

(ii)
# GGA-PBE NaCd3Sb, relaxed
data_NaCd3Sb
_chemical_formula_sum 'Na1 Cd3 Sb1'
_symmetry_space_group_name_H-M 'P m -3 m'
_symmetry_Int_Tables_number 221
_symmetry_space_group_name_Hall '-P 4 2 3'
_cell_length_a 5.332
_cell_length_b 5.332
_cell_length_c 5.332
_cell_angle_alpha 90.00
_cell_angle_beta 90.00
_cell_angle_gamma 90.00
loop_
_atom_site_label
_atom_site_type_symbol
_atom_site_fract_x
_atom_site_fract_y
_atom_site_fract_z
Na1 Na 0.000 0.000 0.000
Cd1 Cd 0.000 0.000 0.500
Sb1 Sb 0.500 0.500 0.500
# Density, g cm⁻³: 5.3
# V, A^3/atom: 30.31

Energy ordering: (i) at the bottom, the next structure 31.9 kJ/mol of atoms above.

(i)
# GGA-PBE Na2CdSb2, relaxed
data_Na2CdSb2
_chemical_formula_sum 'Na4 Cd2 Sb4'
_symmetry_space_group_name_H-M 'P 4/m b m'
_symmetry_Int_Tables_number 127
_symmetry_space_group_name_Hall '-P 4 2ab'
_cell_length_a 9.280
_cell_length_b 9.280
_cell_length_c 3.326
_cell_angle_alpha 90.00
_cell_angle_beta 90.00
_cell_angle_gamma 90.00
loop_
_atom_site_label
_atom_site_type_symbol
_atom_site_fract_x
_atom_site_fract_y
_atom_site_fract_z
Na1 Na 0.183 0.317 0.000
Cd1 Cd 0.000 0.000 0.500
Sb1 Sb 0.111 0.611 0.500
# Density, g cm⁻³: 4.7
# V, A^3/atom: 28.64

(ii)
# GGA-PBE Na2CdSb2, relaxed
data_Na2CdSb2
_chemical_formula_sum 'Na4 Cd2 Sb4'
_symmetry_space_group_name_H-M 'P 4/m b m'
_symmetry_Int_Tables_number 127
_symmetry_space_group_name_Hall '-P 4 2ab'
_cell_length_a 9.509
_cell_length_b 9.509
_cell_length_c 3.089
_cell_angle_alpha 90.00
_cell_angle_beta 90.00
_cell_angle_gamma 90.00
loop_
_atom_site_label
_atom_site_type_symbol
_atom_site_fract_x
_atom_site_fract_y
_atom_site_fract_z
Na1 Na 0.122 0.378 0.000
Cd1 Cd 0.000 0.000 0.000
Sb1 Sb 0.176 0.676 0.500
# Density, g cm⁻³: 4.8
# V, A^3/atom: 27.93

Energy ordering: (i) at the bottom, the next structure 3.9 kJ/mol of atoms above.

(i)
# GGA-PBE NaCdSb3, relaxed
data_NaCdSb3
_chemical_formula_sum 'Na1 Cd1 Sb3'
_symmetry_space_group_name_H-M 'P m -3 m'
_symmetry_Int_Tables_number 221
_symmetry_space_group_name_Hall '-P 4 2 3'
_cell_length_a 5.618
_cell_length_b 5.618
_cell_length_c 5.618
_cell_angle_alpha 90.00
_cell_angle_beta 90.00
_cell_angle_gamma 90.00
loop_
_atom_site_label
_atom_site_type_symbol
_atom_site_fract_x
_atom_site_fract_y
_atom_site_fract_z
Na1 Na 0.000 0.000 0.000
Cd1 Cd 0.500 0.500 0.500
Sb1 Sb 0.000 0.500 0.500
# Density, g cm⁻³: 4.7
# V, A^3/atom: 35.47

(ii)
# GGA-PBE NaCdSb3, relaxed
data_NaCdSb3
_chemical_formula_sum 'Na1 Cd1 Sb3'
_symmetry_space_group_name_H-M 'P m -3 m'
_symmetry_Int_Tables_number 221
_symmetry_space_group_name_Hall '-P 4 2 3'
_cell_length_a 5.416
_cell_length_b 5.416
_cell_length_c 5.416
_cell_angle_alpha 90.00
_cell_angle_beta 90.00
_cell_angle_gamma 90.00
loop_
_atom_site_label
_atom_site_type_symbol
_atom_site_fract_x
_atom_site_fract_y
_atom_site_fract_z
Na1 Na 0.000 0.000 0.000
Cd1 Cd 0.500 0.500 0.500
Sb1 Sb 0.000 0.000 0.500
# Density, g cm⁻³: 5.2
# V, A^3/atom: 31.78

Energy ordering: (i) at the bottom, the next structure 27.5 kJ/mol of atoms above.

(i)
# GGA-PBE NaCdSb2Te, relaxed
data_NaCdSb2Te
_chemical_formula_sum 'Na1 Cd1 Sb2 Te1'
_symmetry_space_group_name_H-M 'P 4/m m m'
_symmetry_Int_Tables_number 123
_symmetry_space_group_name_Hall '-P 4 2'
_cell_length_a 5.546
_cell_length_b 5.546
_cell_length_c 5.897
_cell_angle_alpha 90.00
_cell_angle_beta 90.00
_cell_angle_gamma 90.00
loop_
_atom_site_label
_atom_site_type_symbol
_atom_site_fract_x
_atom_site_fract_y
_atom_site_fract_z
Na1 Na 0.000 0.000 0.000
Cd1 Cd 0.500 0.500 0.500
Sb1 Sb 0.000 0.500 0.500
Te1 Te 0.500 0.500 0.000
# Density, g cm⁻³: 4.6
# V, A^3/atom: 36.28

(ii)
# GGA-PBE NaCdSb2Te, relaxed
data_NaCdSb2Te
_chemical_formula_sum 'Na1 Cd1 Sb2 Te1'
_symmetry_space_group_name_H-M 'P 4/m m m'
_symmetry_Int_Tables_number 123
_symmetry_space_group_name_Hall '-P 4 2'
_cell_length_a 5.457
_cell_length_b 5.457
_cell_length_c 5.499
_cell_angle_alpha 90.00
_cell_angle_beta 90.00
_cell_angle_gamma 90.00
loop_
_atom_site_label
_atom_site_type_symbol
_atom_site_fract_x
_atom_site_fract_y
_atom_site_fract_z
Na1 Na 0.000 0.000 0.000
Cd1 Cd 0.500 0.500 0.500
Sb1 Sb 0.000 0.500 0.000
Te1 Te 0.000 0.000 0.500
# Density, g cm⁻³: 5.1
# V, A^3/atom: 32.75

Energy ordering: (i) at the bottom, the next structure 31.6 kJ/mol of atoms above.

(i)
# GGA-PBE Na2Sc2Cd, relaxed
data_Na2Sc2Cd
_chemical_formula_sum 'Na4 Sc4 Cd2'
_symmetry_space_group_name_H-M 'P 4/m b m'
_symmetry_Int_Tables_number 127
_symmetry_space_group_name_Hall '-P 4 2ab'
_cell_length_a 7.152
_cell_length_b 7.152
_cell_length_c 5.059
_cell_angle_alpha 90.00
_cell_angle_beta 90.00
_cell_angle_gamma 90.00
loop_
_atom_site_label
_atom_site_type_symbol
_atom_site_fract_x
_atom_site_fract_y
_atom_site_fract_z
Na1 Na 0.129 0.371 0.000
Sc1 Sc 0.183 0.683 0.500
Cd1 Cd 0.000 0.000 0.000
# Density, g cm⁻³: 3.2
# V, A^3/atom: 25.87

(ii)
# GGA-PBE Na2Sc2Cd, relaxed
data_Na2Sc2Cd
_chemical_formula_sum 'Na4 Sc4 Cd2'
_symmetry_space_group_name_H-M 'I 4/m m m'
_symmetry_Int_Tables_number 139
_symmetry_space_group_name_Hall '-I 4 2'
_cell_length_a 4.047
_cell_length_b 4.047
_cell_length_c 18.855
_cell_angle_alpha 90.00
_cell_angle_beta 90.00
_cell_angle_gamma 90.00
loop_
_atom_site_label
_atom_site_type_symbol
_atom_site_fract_x
_atom_site_fract_y
_atom_site_fract_z
Na1 Na 0.000 0.000 0.095
Sc1 Sc 0.000 0.500 0.250
Cd1 Cd 0.000 0.000 0.500
# Density, g cm⁻³: 2.7
# V, A^3/atom: 30.89

Energy ordering: (ii) at the bottom, the next structure 0.6 kJ/mol of atoms above.

(i)
# GGA-PBE Na3CdSe, relaxed
data_Na3CdSe
_chemical_formula_sum 'Na3 Cd1 Se1'
_symmetry_space_group_name_H-M 'P m -3 m'
_symmetry_Int_Tables_number 221
_symmetry_space_group_name_Hall '-P 4 2 3'
_cell_length_a 5.565
_cell_length_b 5.565
_cell_length_c 5.565
_cell_angle_alpha 90.00
_cell_angle_beta 90.00
_cell_angle_gamma 90.00
loop_
_atom_site_label
_atom_site_type_symbol
_atom_site_fract_x
_atom_site_fract_y
_atom_site_fract_z
Na1 Na 0.000 0.000 0.500
Cd1 Cd 0.500 0.500 0.500
Se1 Se 0.000 0.000 0.000
# Density, g cm⁻³: 2.5
# V, A^3/atom: 34.48

(ii)
# GGA-PBE Na3CdSe, relaxed
data_Na3CdSe
_chemical_formula_sum 'Na3 Cd1 Se1'
_symmetry_space_group_name_H-M 'P m -3 m'
_symmetry_Int_Tables_number 221
_symmetry_space_group_name_Hall '-P 4 2 3'
_cell_length_a 5.559
_cell_length_b 5.559
_cell_length_c 5.559
_cell_angle_alpha 90.00
_cell_angle_beta 90.00
_cell_angle_gamma 90.00
loop_
_atom_site_label
_atom_site_type_symbol
_atom_site_fract_x
_atom_site_fract_y
_atom_site_fract_z
Na1 Na 0.000 0.000 0.500
Cd1 Cd 0.000 0.000 0.000
Se1 Se 0.500 0.500 0.500
# Density, g cm⁻³: 2.5
# V, A^3/atom: 34.35

Energy ordering: (i) at the bottom, the next structure 50.4 kJ/mol of atoms above.

(i)
# GGA-PBE Na2CdSe, relaxed
data_Na2CdSe
_chemical_formula_sum 'Na8 Cd4 Se4'
_symmetry_space_group_name_H-M 'I -4 2 d'
_symmetry_Int_Tables_number 122
_symmetry_space_group_name_Hall 'I -4 2bw'
_cell_length_a 6.208
_cell_length_b 6.208
_cell_length_c 16.530
_cell_angle_alpha 90.00
_cell_angle_beta 90.00
_cell_angle_gamma 90.00
loop_
_atom_site_label
_atom_site_type_symbol
_atom_site_fract_x
_atom_site_fract_y
_atom_site_fract_z
Na1 Na 0.144 0.250 0.125
Cd1 Cd 0.000 0.000 0.500
Se1 Se 0.000 0.000 0.000
# Density, g cm⁻³: 2.5
# V, A^3/atom: 39.82

(ii)
# GGA-PBE Na2CdSe, relaxed
data_Na2CdSe
_chemical_formula_sum 'Na8 Cd4 Se4'
_symmetry_space_group_name_H-M 'F m -3 m'
_symmetry_Int_Tables_number 225
_symmetry_space_group_name_Hall '-F 4 2 3'
_cell_length_a 7.377
_cell_length_b 7.377
_cell_length_c 7.377
_cell_angle_alpha 90.00
_cell_angle_beta 90.00
_cell_angle_gamma 90.00
loop_
_atom_site_label
_atom_site_type_symbol
_atom_site_fract_x
_atom_site_fract_y
_atom_site_fract_z
Na1 Na 0.250 0.250 0.250
Cd1 Cd 0.000 0.000 0.000
Se1 Se 0.000 0.000 0.500
# Density, g cm⁻³: 3.9
# V, A^3/atom: 25.10

Energy ordering: (ii) at the bottom, the next structure 14.7 kJ/mol of atoms above.

(i)
# GGA-PBE NaCd3Se, relaxed
data_NaCd3Se
_chemical_formula_sum 'Na1 Cd3 Se1'
_symmetry_space_group_name_H-M 'P m -3 m'
_symmetry_Int_Tables_number 221
_symmetry_space_group_name_Hall '-P 4 2 3'
_cell_length_a 5.578
_cell_length_b 5.578
_cell_length_c 5.578
_cell_angle_alpha 90.00
_cell_angle_beta 90.00
_cell_angle_gamma 90.00
loop_
_atom_site_label
_atom_site_type_symbol
_atom_site_fract_x
_atom_site_fract_y
_atom_site_fract_z
Na1 Na 0.000 0.000 0.000
Cd1 Cd 0.000 0.500 0.500
Se1 Se 0.500 0.500 0.500
# Density, g cm⁻³: 4.2
# V, A^3/atom: 34.71

(ii)
# GGA-PBE NaCd3Se, relaxed
data_NaCd3Se
_chemical_formula_sum 'Na1 Cd3 Se1'
_symmetry_space_group_name_H-M 'P m -3 m'
_symmetry_Int_Tables_number 221
_symmetry_space_group_name_Hall '-P 4 2 3'
_cell_length_a 5.504
_cell_length_b 5.504
_cell_length_c 5.504
_cell_angle_alpha 90.00
_cell_angle_beta 90.00
_cell_angle_gamma 90.00
loop_
_atom_site_label
_atom_site_type_symbol
_atom_site_fract_x
_atom_site_fract_y
_atom_site_fract_z
Na1 Na 0.000 0.000 0.000
Cd1 Cd 0.000 0.000 0.500
Se1 Se 0.500 0.500 0.500
# Density, g cm⁻³: 4.4
# V, A^3/atom: 33.35

Energy ordering: (i) at the bottom, the next structure 31.7 kJ/mol of atoms above.

(i)
# GGA-PBE NaCd2Se2, relaxed
data_NaCd2Se2
_chemical_formula_sum 'Na2 Cd4 Se4'
_symmetry_space_group_name_H-M 'P 4/m b m'
_symmetry_Int_Tables_number 127
_symmetry_space_group_name_Hall '-P 4 2ab'
_cell_length_a 7.917
_cell_length_b 7.917
_cell_length_c 3.918
_cell_angle_alpha 90.00
_cell_angle_beta 90.00
_cell_angle_gamma 90.00
loop_
_atom_site_label
_atom_site_type_symbol
_atom_site_fract_x
_atom_site_fract_y
_atom_site_fract_z
Na1 Na 0.000 0.000 0.000
Cd1 Cd 0.130 0.370 0.500
Se1 Se 0.188 0.688 0.000
# Density, g cm⁻³: 5.5
# V, A^3/atom: 24.56

(ii)
# GGA-PBE NaCd2Se2, relaxed
data_NaCd2Se2
_chemical_formula_sum 'Na2 Cd4 Se4'
_symmetry_space_group_name_H-M 'I 4/m m m'
_symmetry_Int_Tables_number 139
_symmetry_space_group_name_Hall '-I 4 2'
_cell_length_a 5.295
_cell_length_b 5.295
_cell_length_c 9.547
_cell_angle_alpha 90.00
_cell_angle_beta 90.00
_cell_angle_gamma 90.00
loop_
_atom_site_label
_atom_site_type_symbol
_atom_site_fract_x
_atom_site_fract_y
_atom_site_fract_z
Na1 Na 0.000 0.000 0.000
Cd1 Cd 0.000 0.000 0.352
Se1 Se 0.000 0.500 0.250
# Density, g cm⁻³: 5.0
# V, A^3/atom: 26.77

Energy ordering: (i) at the bottom, the next structure 4.9 kJ/mol of atoms above.

(i)
# GGA-PBE Na2CdSi2, relaxed
data_Na2CdSi2
_chemical_formula_sum 'Na4 Cd2 Si4'
_symmetry_space_group_name_H-M 'P 4/m b m'
_symmetry_Int_Tables_number 127
_symmetry_space_group_name_Hall '-P 4 2ab'
_cell_length_a 6.921
_cell_length_b 6.921
_cell_length_c 4.718
_cell_angle_alpha 90.00
_cell_angle_beta 90.00
_cell_angle_gamma 90.00
loop_
_atom_site_label
_atom_site_type_symbol
_atom_site_fract_x
_atom_site_fract_y
_atom_site_fract_z
Na1 Na 0.175 0.325 0.000
Cd1 Cd 0.000 0.000 0.500
Si1 Si 0.119 0.619 0.500
# Density, g cm⁻³: 3.2
# V, A^3/atom: 22.60

(ii)
# GGA-PBE Na2CdSi2, relaxed
data_Na2CdSi2
_chemical_formula_sum 'Na4 Cd2 Si4'
_symmetry_space_group_name_H-M 'I 4/m m m'
_symmetry_Int_Tables_number 139
_symmetry_space_group_name_Hall '-I 4 2'
_cell_length_a 4.184
_cell_length_b 4.184
_cell_length_c 12.881
_cell_angle_alpha 90.00
_cell_angle_beta 90.00
_cell_angle_gamma 90.00
loop_
_atom_site_label
_atom_site_type_symbol
_atom_site_fract_x
_atom_site_fract_y
_atom_site_fract_z
Na1 Na 0.000 0.500 0.250
Cd1 Cd 0.000 0.000 0.000
Si1 Si 0.000 0.000 0.413
# Density, g cm⁻³: 3.2
# V, A^3/atom: 22.55

Energy ordering: (i) at the bottom, the next structure 17.8 kJ/mol of atoms above.

(i)
# GGA-PBE NaCd2Sn2, relaxed
data_NaCd2Sn2
_chemical_formula_sum 'Na2 Cd4 Sn4'
_symmetry_space_group_name_H-M 'P 4/m b m'
_symmetry_Int_Tables_number 127
_symmetry_space_group_name_Hall '-P 4 2ab'
_cell_length_a 8.636
_cell_length_b 8.636
_cell_length_c 3.645
_cell_angle_alpha 90.00
_cell_angle_beta 90.00
_cell_angle_gamma 90.00
loop_
_atom_site_label
_atom_site_type_symbol
_atom_site_fract_x
_atom_site_fract_y
_atom_site_fract_z
Na1 Na 0.000 0.000 0.000
Cd1 Cd 0.158 0.342 0.500
Sn1 Sn 0.138 0.638 0.000
# Density, g cm⁻³: 5.9
# V, A^3/atom: 27.19

(ii)
# GGA-PBE NaCd2Sn2, relaxed
data_NaCd2Sn2
_chemical_formula_sum 'Na2 Cd4 Sn4'
_symmetry_space_group_name_H-M 'I 4/m m m'
_symmetry_Int_Tables_number 139
_symmetry_space_group_name_Hall '-I 4 2'
_cell_length_a 4.765
_cell_length_b 4.765
_cell_length_c 12.595
_cell_angle_alpha 90.00
_cell_angle_beta 90.00
_cell_angle_gamma 90.00
loop_
_atom_site_label
_atom_site_type_symbol
_atom_site_fract_x
_atom_site_fract_y
_atom_site_fract_z
Na1 Na 0.000 0.000 0.000
Cd1 Cd 0.000 0.500 0.250
Sn1 Sn 0.000 0.000 0.387
# Density, g cm⁻³: 5.6
# V, A^3/atom: 28.60

(iii)
# GGA-PBE NaCd2Sn2, relaxed
data_NaCd2Sn2
_chemical_formula_sum 'Na2 Cd4 Sn4'
_symmetry_space_group_name_H-M 'P -1'
_symmetry_Int_Tables_number 2
_cell_length_a 5.763
_cell_length_b 5.802
_cell_length_c 8.564
_cell_angle_alpha 82.99
_cell_angle_beta 71.10
_cell_angle_gamma 68.86
loop_
_symmetry_equiv_pos_as_xyz
'x,y,z'
'-x,-y,-z'
loop_
_atom_site_label
_atom_site_type_symbol
_atom_site_fract_x
_atom_site_fract_y
_atom_site_fract_z
Na1 Na 0.153 0.246 0.205
Cd1 Cd 0.052 0.745 0.400
Cd2 Cd 0.344 0.254 0.808
Sn1 Sn 0.242 0.750 0.010
Sn2 Sn 0.447 0.755 0.594
# Density, g cm⁻³: 6.4
# V, A^3/atom: 25.27

Energy ordering: (ii) at the bottom, the next structure 1.9 kJ/mol of atoms above.

(i)
# GGA-PBE NaCd2Sn2, relaxed
data_NaCd2Sn2
_chemical_formula_sum 'Na2 Cd4 Sn4'
_symmetry_space_group_name_H-M 'P 4/m b m'
_symmetry_Int_Tables_number 127
_symmetry_space_group_name_Hall '-P 4 2ab'
_cell_length_a 8.574
_cell_length_b 8.574
_cell_length_c 3.627
_cell_angle_alpha 90.00
_cell_angle_beta 90.00
_cell_angle_gamma 90.00
loop_
_atom_site_label
_atom_site_type_symbol
_atom_site_fract_x
_atom_site_fract_y
_atom_site_fract_z
Na1 Na 0.000 0.000 0.000
Cd1 Cd 0.129 0.371 0.000
Sn1 Sn 0.170 0.670 0.500
# Density, g cm⁻³: 6.0
# V, A^3/atom: 26.67

(ii)
# GGA-PBE NaCd2Sn2, relaxed
data_NaCd2Sn2
_chemical_formula_sum 'Na2 Cd4 Sn4'
_symmetry_space_group_name_H-M 'P 4/n m m'
_symmetry_Int_Tables_number 129
_cell_length_a 4.657
_cell_length_b 4.657
_cell_length_c 12.998
_cell_angle_alpha 90.00
_cell_angle_beta 90.00
_cell_angle_gamma 90.00
loop_
_symmetry_equiv_pos_as_xyz
'x,y,z'
'-x,-y,-z'
'-y+1/2,x,z'
'y+1/2,-x,-z'
'-x+1/2,-y+1/2,z'
'x+1/2,y+1/2,-z'
'y,-x+1/2,z'
'-y,x+1/2,-z'
'x+1/2,-y,-z'
'-x+1/2,y,z'
'-y,-x,-z'
'y,x,z'
'-x,y+1/2,-z'
'x,-y+1/2,z'
'y+1/2,x+1/2,-z'
'-y+1/2,-x+1/2,z'
loop_
_atom_site_label
_atom_site_type_symbol
_atom_site_fract_x
_atom_site_fract_y
_atom_site_fract_z
Na1 Na 0.250 0.250 0.239
Cd1 Cd 0.250 0.250 0.647
Cd2 Cd 0.250 0.750 0.000
Sn1 Sn 0.250 0.250 0.861
Sn2 Sn 0.250 0.750 0.500
# Density, g cm⁻³: 5.7
# V, A^3/atom: 28.19

Energy ordering: (ii) at the bottom, the next structure 5.3 kJ/mol of atoms above.